No. 1
4
Lattice="5.2697 0.0000 0.0000 2.6349 4.5637 0.0000 2.6349 1.5212 4.3027" Properties=species:S:1:pos:R:3 comment="SrPmCdRh | Alexandria | GGA-PBE | optimized geometry" ef_ev_per_atom=-0.278 dos_at_fermi_per_ev_cell=4.3 magnetic_moment_mub_per_fu=0.0 pbc="T T T"
Sr 0.0000 0.0000 0.0000
Cd 2.6349 1.5212 1.0757
Rh 7.9046 4.5637 3.2270
Pm 5.2697 3.0425 2.1514

No. 2
11
Lattice="4.0094 0.2222 -0.1498 -0.4128 6.0896 -1.9814 0.2125 0.4541 6.3975" Properties=species:S:1:pos:R:3 comment="Fe2PtRh8 | Alexandria | GGA-PBE | optimized geometry" ef_ev_per_atom=0.191 dos_at_fermi_per_ev_cell=15.0 magnetic_moment_mub_per_fu=5.7 pbc="T T T"
Rh 3.7585 6.4047 2.3764
Rh 3.9275 4.8816 4.6409
Rh 1.8716 4.4503 2.8535
Rh 2.0554 2.0231 4.1550
Rh 1.7537 4.7427 0.1113
Rh 1.9375 2.3156 1.4128
Rh -0.1184 1.8842 -0.3746
Rh 0.0505 0.3612 1.8899
Fe -0.1725 3.9244 1.2378
Fe -0.0277 2.6193 3.1783
Pt 2.0047 0.1111 -0.0749

No. 3
4
Lattice="5.3974 0.0100 -0.0079 4.4845 3.0035 -0.0079 -0.6280 -0.1915 4.5031" Properties=species:S:1:pos:R:3 comment="Zr2CrCl | Alexandria | GGA-PBE | optimized geometry" raw_formation_energy_ev_per_atom=-0.031 dos_at_fermi_per_ev_cell=3.6 magnetic_moment_mub_per_fu=1.5 pbc="T T T"
Cr 2.6336 0.8031 0.7233
Zr 0.1317 0.0402 0.4182
Zr 6.8343 2.0841 2.9911
Cl 4.2813 1.3056 2.5984